## Cs2PuWO6 (PBE with a Hubbard U)

Data for a geometry-optimized Cs2PuWO6 structure.

Cell and atoms, written as CIF:
```
data_Cs2PuWO6
_space_group_name_H-M_alt 'P 1'
_space_group_IT_number 1
_space_group_name_Hall 'P 1'
_cell_length_a 6.065
_cell_length_b 6.065
_cell_length_c 6.066
_cell_angle_alpha 60.00
_cell_angle_beta 60.00
_cell_angle_gamma 90.00
loop_
_atom_site_label
_atom_site_type_symbol
_atom_site_fract_x
_atom_site_fract_y
_atom_site_fract_z
_atom_site_occupancy
O1 O 0.768 0.232 0.000 1
Pu1 Pu 0.500 0.500 0.000 1
O2 O 0.232 0.232 0.537 1
O3 O 0.232 0.232 0.000 1
O4 O 0.768 0.768 0.000 1
W1 W 0.000 0.000 0.000 1
O5 O 0.232 0.768 0.000 1
O6 O 0.768 0.768 0.463 1
Cs1 Cs 0.750 0.250 0.500 1
Cs2 Cs 0.250 0.750 0.500 1
```

M_tot, μB per formula unit: 4.00
Space group: Fm-3m, No. 225
E, eV/atom: -7.4793